1.
LiY2TaI | GGA-PBE | relaxed

```
LiY2TaI
1.0
-3.948 -1.835 3.073
2.988 -1.013 3.234
-0.624 4.858 2.099
Ta Li I Y
1 1 1 2
Direct
0.500 0.500 0.500
0.000 0.000 0.000
0.000 0.500 0.000
0.500 0.000 0.000
0.000 0.000 0.500
```

Results
Raw total energy   -4.756 eV per atom
Formation energy from raw total energies   893 meV/atom
Crystal system   tetragonal

2.
LiTaZn2I | GGA-PBE | relaxed

```
LiTaZn2I
1.0
4.500 0.000 0.000
0.000 4.960 0.000
0.000 0.000 4.500
Zn Li Ta I
2 1 1 1
Direct
0.500 0.000 0.000
0.000 0.000 0.500
0.000 0.000 0.000
0.000 0.500 0.000
0.500 0.500 0.500
```

Results
Raw total energy   -2.658 eV per atom
Formation energy from raw total energies   915 meV/atom
Crystal system   tetragonal

3.
Li2TbI4 | GGA-PBE | relaxed

```
Li2TbI4
1.0
-3.629 -5.305 5.746
8.090 -0.279 2.967
-4.737 7.199 -0.249
Tb Li I
2 4 8
Direct
0.128 0.628 0.500
0.122 0.122 0.000
0.625 0.875 0.250
0.625 0.375 0.250
0.625 0.375 0.750
0.125 0.375 0.750
0.336 0.090 0.754
0.914 0.660 0.746
0.336 0.582 0.246
0.422 0.620 0.802
0.819 0.620 0.198
0.828 0.130 0.698
0.914 0.168 0.254
0.431 0.130 0.302
```

Results
Raw total energy   -3.222 eV per atom
Formation energy from raw total energies   -1128 meV/atom
Crystal system   orthorhombic

Number 1: total magnetic moment 1.6 μB/cell, calculated volume 25.65 Å³ per atom. Number 2: total magnetic moment 1.1 μB/cell, calculated volume 20.09 Å³ per atom. Number 3: total magnetic moment 0.1 μB/cell, calculated volume 33.44 Å³ per atom.